First-principles (GGA-PBE) data for TbHS2 after structural relaxation, as listed in Alexandria.

a b c (Å): 4.119 6.088 6.768
angles (deg): 90.00 90.00 90.00
Sites, in units of the cell vectors:
S (0.500, 0.485, 0.143)
S (0.500, 0.990, 0.827)
H (0.500, 0.164, 0.958)
S (0.000, 0.010, 0.327)
Tb (0.000, 0.715, 0.995)
Tb (0.500, 0.285, 0.495)
H (0.000, 0.836, 0.458)
S (0.000, 0.515, 0.643)

Summary:
- Energy relative to the lowest polymorph listed for this composition: 0.000 eV per atom
- Volume: 169.7 Å³/cell
- SG: Pmn2_1, No. 31



First-principles (GGA-PBE) data for AcMnCoGe2 after structural relaxation, as listed in Alexandria.

a b c (Å): 4.216 4.216 6.143
angles (deg): 110.07 110.07 90.00
Site moments in Bohr magnetons follow the coordinates.
Sites, in units of the cell vectors:
Ge (0.637, 0.637, 0.273)  -0.06
Ge (0.363, 0.363, 0.727)  -0.06
Co (0.250, 0.750, 0.500)  -0.57
Ac (0.000, 0.000, 0.000)  0.02
Mn (0.750, 0.250, 0.500)  2.77

Summary:
- Volume: 95.5 Å³/cell
- SG: I-4m2, No. 119
- Formation energy: -10.25 kcal/mol of atoms



First-principles (GGA-PBE) data for CoMoIr after structural relaxation, as listed in Alexandria.

a b c (Å): 5.890 5.890 2.703
angles (deg): 76.73 76.73 26.54
Sites, in units of the cell vectors:
Mo (0.661, 0.661, 0.339)
Co (0.001, 0.001, 0.999)
Ir (0.338, 0.338, 0.662)

Summary:
- Energy relative to the lowest polymorph listed for this composition: 0.052 eV per atom
- Volume: 40.7 Å³/cell
- SG: I4mm, No. 107
- Formation energy: -1.38 kcal/mol of atoms



no.,spin magnetization (μB/cell),density (g/cm³)
1,0.000,4.4
2,2.269,8.5
3,0.000,14.2